First-principles (GGA-PBE) data for a geometry-optimized Nd5Sm4Th structure, as listed in the Alexandria database.

Summary:
Calculated total energy = -49.896 eV per cell
Crystal system = monoclinic
Total magnetic moment = 0.000 μB per atom
Energy above the most stable polymorph in this dataset = 0.0 meV per atom
V = 344.3 Å³ per cell

abc: 13.157 13.157 7.303
angles: 98.16 98.16 15.97
Positions (direct):
Nd1 0.000 0.000 0.000
Nd2 0.200 0.200 0.098
Nd3 0.402 0.402 0.693
Nd4 0.598 0.598 0.307
Nd5 0.800 0.800 0.902
Sm1 0.201 0.201 0.602
Sm2 0.403 0.403 0.210
Sm3 0.597 0.597 0.790
Sm4 0.799 0.799 0.398
Th1 0.000 0.000 0.500

First-principles (GGA-PBE) data for a geometry-optimized Nd2Sm8Th structure, as listed in the Alexandria database.

Summary:
Calculated total energy = -52.543 eV per cell
Crystal system = monoclinic
Total magnetic moment = 0.000 μB per atom
Energy above the most stable polymorph in this dataset = 170.3 meV per atom
V = 385.7 Å³ per cell

abc: 10.328 10.328 5.736
angles: 94.25 94.25 39.22
Positions (direct):
Nd1 0.219 0.219 0.255
Nd2 0.781 0.781 0.745
Sm1 0.048 0.048 0.228
Sm2 0.113 0.634 0.277
Sm3 0.318 0.318 0.778
Sm4 0.366 0.887 0.723
Sm5 0.634 0.113 0.277
Sm6 0.682 0.682 0.222
Sm7 0.887 0.366 0.723
Sm8 0.952 0.952 0.772
Th1 0.500 0.500 0.000

First-principles (GGA-PBE) data for a geometry-optimized Nd2SmTh2 structure, as listed in the Alexandria database.

Summary:
Calculated total energy = -28.927 eV per cell
Crystal system = tetragonal
Total magnetic moment = 0.000 μB per atom
Energy above the most stable polymorph in this dataset = 0.0 meV per atom
V = 169.0 Å³ per cell

abc: 13.184 13.184 13.184
angles: 164.24 164.24 22.36
Positions (direct):
Nd1 0.104 0.104 0.000
Nd2 0.896 0.896 0.000
Sm1 0.500 0.500 0.000
Th1 0.297 0.297 0.000
Th2 0.703 0.703 0.000

First-principles (GGA-PBE) data for a geometry-optimized Nd3Sm4Th2 structure, as listed in the Alexandria database.

Summary:
Calculated total energy = -47.214 eV per cell
Crystal system = trigonal
Total magnetic moment = 0.000 μB per atom
Energy above the most stable polymorph in this dataset = 26.9 meV per atom
V = 307.9 Å³ per cell

abc: 3.608 3.608 27.318
angles: 90.00 90.00 120.00
Positions (direct):
Nd1 0.000 0.000 0.000
Nd2 0.000 0.000 0.341
Nd3 0.667 0.333 0.671
Sm1 0.000 0.000 0.561
Sm2 0.000 0.000 0.783
Sm3 0.667 0.333 0.234
Sm4 0.667 0.333 0.454
Th1 0.667 0.333 0.110
Th2 0.667 0.333 0.890

First-principles (GGA-PBE) data for a geometry-optimized Nd2Sm2Th3 structure, as listed in the Alexandria database.

Summary:
Calculated total energy = -40.681 eV per cell
Crystal system = orthorhombic
Total magnetic moment = 0.000 μB per atom
V = 237.1 Å³ per cell

abc: 18.760 18.760 3.564
angles: 90.00 90.00 169.11
Positions (direct):
Nd1 0.208 0.792 0.000
Nd2 0.792 0.208 0.000
Sm1 0.364 0.636 0.500
Sm2 0.636 0.364 0.500
Th1 0.067 0.933 0.000
Th2 0.500 0.500 0.500
Th3 0.933 0.067 0.000

First-principles (GGA-PBE) data for a geometry-optimized NdSm4Th structure, as listed in the Alexandria database.

Summary:
Calculated total energy = -59.113 eV per cell
Crystal system = orthorhombic
Total magnetic moment = 0.000 μB per atom
Energy above the most stable polymorph in this dataset = 219.0 meV per atom
V = 410.0 Å³ per cell

abc: 6.550 6.550 11.067
angles: 90.00 90.00 120.28
Positions (direct):
Nd1 0.170 0.830 0.750
Nd2 0.830 0.170 0.250
Sm1 0.169 0.339 0.750
Sm2 0.335 0.665 0.062
Sm3 0.335 0.665 0.438
Sm4 0.339 0.169 0.250
Sm5 0.661 0.831 0.750
Sm6 0.665 0.335 0.562
Sm7 0.665 0.335 0.938
Sm8 0.831 0.661 0.250
Th1 0.000 0.000 0.000
Th2 0.000 0.000 0.500

First-principles (GGA-PBE) data for a geometry-optimized Nd5SmTh2 structure, as listed in the Alexandria database.

Summary:
Calculated total energy = -42.548 eV per cell
Crystal system = orthorhombic
Total magnetic moment = 0.000 μB per atom
V = 276.8 Å³ per cell

abc: 9.036 9.036 9.036
angles: 157.17 101.37 83.18
Positions (direct):
Nd1 0.000 0.000 0.000
Nd2 0.106 0.369 0.736
Nd3 0.367 0.631 0.736
Nd4 0.633 0.369 0.264
Nd5 0.894 0.631 0.264
Sm1 0.500 0.000 0.500
Th1 0.258 0.258 0.000
Th2 0.742 0.742 0.000

First-principles (GGA-PBE) data for a geometry-optimized Nd2Sm8Th structure, as listed in the Alexandria database.

Summary:
Calculated total energy = -54.416 eV per cell
Crystal system = monoclinic
Total magnetic moment = 0.000 μB per atom
Energy above the most stable polymorph in this dataset = 0.0 meV per atom
V = 373.6 Å³ per cell

abc: 9.614 9.614 8.137
angles: 104.62 104.62 30.99
Positions (direct):
Nd1 0.228 0.228 0.137
Nd2 0.772 0.772 0.863
Sm1 0.044 0.044 0.234
Sm2 0.134 0.134 0.677
Sm3 0.321 0.321 0.592
Sm4 0.410 0.410 0.050
Sm5 0.590 0.590 0.950
Sm6 0.679 0.679 0.408
Sm7 0.866 0.866 0.323
Sm8 0.956 0.956 0.766
Th1 0.500 0.500 0.500

First-principles (GGA-PBE) data for a geometry-optimized Nd5Sm6Th2 structure, as listed in the Alexandria database.

Summary:
Calculated total energy = -131.101 eV per cell
Crystal system = orthorhombic
Total magnetic moment = 0.000 μB per atom
V = 904.3 Å³ per cell

abc: 11.705 21.241 3.637
angles: 90.00 90.00 90.00
Positions (direct):
Nd1 0.000 0.000 0.000
Nd2 0.062 0.294 0.000
Nd3 0.190 0.580 0.000
Nd4 0.310 0.080 0.000
Nd5 0.438 0.794 0.000
Nd6 0.500 0.500 0.000
Nd7 0.562 0.206 0.000
Nd8 0.690 0.920 0.000
Nd9 0.810 0.420 0.000
Nd10 0.938 0.706 0.000
Sm1 0.064 0.147 0.500
Sm2 0.081 0.438 0.500
Sm3 0.185 0.875 0.000
Sm4 0.315 0.375 0.000
Sm5 0.419 0.938 0.500
Sm6 0.436 0.647 0.500
Sm7 0.564 0.353 0.500
Sm8 0.581 0.062 0.500
Sm9 0.685 0.625 0.000
Sm10 0.815 0.125 0.000
Sm11 0.919 0.562 0.500
Sm12 0.936 0.853 0.500
Th1 0.192 0.734 0.500
Th2 0.308 0.234 0.500
Th3 0.692 0.766 0.500
Th4 0.808 0.266 0.500

First-principles (GGA-PBE) data for a geometry-optimized Nd3SmTh structure, as listed in the Alexandria database.

Summary:
Calculated total energy = -52.688 eV per cell
Crystal system = hexagonal
Total magnetic moment = 0.000 μB per atom
Energy above the most stable polymorph in this dataset = 0.0 meV per atom
V = 343.3 Å³ per cell

abc: 3.654 3.654 29.692
angles: 90.00 90.00 120.00
Positions (direct):
Nd1 0.000 0.000 0.000
Nd2 0.000 0.000 0.500
Nd3 0.333 0.667 0.104
Nd4 0.333 0.667 0.797
Nd5 0.667 0.333 0.297
Nd6 0.667 0.333 0.604
Sm1 0.333 0.667 0.401
Sm2 0.667 0.333 0.901
Th1 0.000 0.000 0.201
Th2 0.000 0.000 0.701

First-principles (GGA-PBE) data for a geometry-optimized NdSm6Th2 structure, as listed in the Alexandria database.

Summary:
Calculated total energy = -47.223 eV per cell
Crystal system = hexagonal
Total magnetic moment = 0.000 μB per atom
V = 305.4 Å³ per cell

abc: 3.613 3.613 27.020
angles: 90.00 90.00 120.00
Positions (direct):
Nd1 0.000 0.000 0.000
Sm1 0.000 0.000 0.221
Sm2 0.000 0.000 0.437
Sm3 0.000 0.000 0.563
Sm4 0.000 0.000 0.779
Sm5 0.333 0.667 0.111
Sm6 0.333 0.667 0.889
Th1 0.333 0.667 0.331
Th2 0.333 0.667 0.669

First-principles (GGA-PBE) data for a geometry-optimized NdSm2Th4 structure, as listed in the Alexandria database.

Summary:
Calculated total energy = -43.306 eV per cell
Crystal system = orthorhombic
Total magnetic moment = 0.000 μB per atom
V = 235.1 Å³ per cell

abc: 18.338 18.338 3.585
angles: 90.00 90.00 168.76
Positions (direct):
Nd1 0.000 0.000 0.000
Sm1 0.293 0.707 0.500
Sm2 0.707 0.293 0.500
Th1 0.139 0.861 0.000
Th2 0.427 0.573 0.500
Th3 0.573 0.427 0.500
Th4 0.861 0.139 0.000

First-principles (GGA-PBE) data for a geometry-optimized Nd8Sm6Th structure, as listed in the Alexandria database.

Summary:
Calculated total energy = -72.133 eV per cell
Crystal system = trigonal
Total magnetic moment = 0.000 μB per atom
V = 523.2 Å³ per cell

abc: 8.835 8.835 8.835
angles: 63.29 63.29 63.29
Positions (direct):
Nd1 0.078 0.078 0.078
Nd2 0.217 0.254 0.614
Nd3 0.254 0.614 0.217
Nd4 0.386 0.783 0.746
Nd5 0.614 0.217 0.254
Nd6 0.746 0.386 0.783
Nd7 0.783 0.746 0.386
Nd8 0.922 0.922 0.922
Sm1 0.039 0.739 0.599
Sm2 0.261 0.401 0.961
Sm3 0.401 0.961 0.261
Sm4 0.599 0.039 0.739
Sm5 0.739 0.599 0.039
Sm6 0.961 0.261 0.401
Th1 0.500 0.500 0.500

First-principles (GGA-PBE) data for a geometry-optimized NdSm12Th3 structure, as listed in the Alexandria database.

Summary:
Calculated total energy = -82.986 eV per cell
Crystal system = tetragonal
Total magnetic moment = 0.000 μB per atom
V = 535.9 Å³ per cell

abc: 5.117 5.117 20.466
angles: 90.00 90.00 90.00
Positions (direct):
Nd1 0.000 0.000 0.000
Sm1 0.000 0.500 0.128
Sm2 0.000 0.500 0.376
Sm3 0.000 0.500 0.624
Sm4 0.000 0.500 0.872
Sm5 0.500 0.000 0.128
Sm6 0.500 0.000 0.376
Sm7 0.500 0.000 0.624
Sm8 0.500 0.000 0.872
Sm9 0.500 0.500 0.000
Sm10 0.500 0.500 0.251
Sm11 0.500 0.500 0.500
Sm12 0.500 0.500 0.749
Th1 0.000 0.000 0.251
Th2 0.000 0.000 0.500
Th3 0.000 0.000 0.749

First-principles (GGA-PBE) data for a geometry-optimized Nd5Sm4Th4 structure, as listed in the Alexandria database.

Summary:
Calculated total energy = -71.900 eV per cell
Crystal system = tetragonal
Total magnetic moment = 0.000 μB per atom
V = 440.5 Å³ per cell

abc: 9.632 9.632 9.632
angles: 94.03 94.03 149.26
Positions (direct):
Nd1 0.000 0.000 0.000
Nd2 0.301 0.538 0.839
Nd3 0.462 0.301 0.764
Nd4 0.538 0.699 0.236
Nd5 0.699 0.462 0.161
Sm1 0.153 0.765 0.918
Sm2 0.235 0.153 0.388
Sm3 0.765 0.847 0.612
Sm4 0.847 0.235 0.082
Th1 0.073 0.388 0.461
Th2 0.388 0.927 0.315
Th3 0.612 0.073 0.685
Th4 0.927 0.612 0.539

First-principles (GGA-PBE) data for a geometry-optimized Nd3Sm6Th structure, as listed in the Alexandria database.

Summary:
Calculated total energy = -47.780 eV per cell
Crystal system = monoclinic
Total magnetic moment = 0.000 μB per atom
Energy above the most stable polymorph in this dataset = 65.8 meV per atom
V = 345.9 Å³ per cell

abc: 6.716 6.716 9.797
angles: 111.67 111.67 59.91
Positions (direct):
Nd1 0.000 0.000 0.000
Nd2 0.066 0.066 0.690
Nd3 0.934 0.934 0.310
Sm1 0.069 0.556 0.683
Sm2 0.361 0.361 0.083
Sm3 0.444 0.931 0.317
Sm4 0.556 0.069 0.683
Sm5 0.639 0.639 0.917
Sm6 0.931 0.444 0.317
Th1 0.500 0.500 0.500

First-principles (GGA-PBE) data for a geometry-optimized Nd5Sm2Th structure, as listed in the Alexandria database.

Summary:
Calculated total energy = -80.885 eV per cell
Crystal system = orthorhombic
Total magnetic moment = 0.000 μB per atom
V = 552.8 Å³ per cell

abc: 7.297 14.602 5.188
angles: 90.00 90.00 90.00
Positions (direct):
Nd1 0.000 0.000 0.000
Nd2 0.002 0.252 0.000
Nd3 0.245 0.378 0.500
Nd4 0.255 0.878 0.500
Nd5 0.498 0.752 0.000
Nd6 0.500 0.500 0.000
Nd7 0.502 0.248 0.000
Nd8 0.745 0.122 0.500
Nd9 0.755 0.622 0.500
Nd10 0.998 0.748 0.000
Sm1 0.242 0.622 0.500
Sm2 0.258 0.122 0.500
Sm3 0.742 0.878 0.500
Sm4 0.758 0.378 0.500
Th1 0.000 0.500 0.000
Th2 0.500 0.000 0.000

First-principles (GGA-PBE) data for a geometry-optimized Nd5SmTh structure, as listed in the Alexandria database.

Summary:
Calculated total energy = -33.716 eV per cell
Crystal system = tetragonal
Total magnetic moment = 0.000 μB per atom
V = 261.4 Å³ per cell

abc: 5.783 5.783 7.816
angles: 90.00 90.00 90.00
Positions (direct):
Nd1 0.000 0.000 0.000
Nd2 0.000 0.500 0.281
Nd3 0.000 0.500 0.719
Nd4 0.500 0.000 0.281
Nd5 0.500 0.000 0.719
Sm1 0.500 0.500 0.000
Th1 0.500 0.500 0.500

First-principles (GGA-PBE) data for a geometry-optimized Nd2Sm5Th3 structure, as listed in the Alexandria database.

Summary:
Calculated total energy = -54.845 eV per cell
Crystal system = monoclinic
Total magnetic moment = 0.000 μB per atom
V = 336.0 Å³ per cell

abc: 6.286 6.286 11.467
angles: 90.12 90.12 47.87
Positions (direct):
Nd1 0.098 0.098 0.205
Nd2 0.902 0.902 0.795
Sm1 0.199 0.199 0.896
Sm2 0.300 0.300 0.597
Sm3 0.500 0.500 0.000
Sm4 0.700 0.700 0.403
Sm5 0.801 0.801 0.104
Th1 0.000 0.000 0.500
Th2 0.402 0.402 0.303
Th3 0.598 0.598 0.697

First-principles (GGA-PBE) data for a geometry-optimized Nd3Sm5Th structure, as listed in the Alexandria database.

Summary:
Calculated total energy = -85.501 eV per cell
Crystal system = tetragonal
Total magnetic moment = 0.000 μB per atom
V = 620.1 Å³ per cell

abc: 10.069 10.069 10.069
angles: 127.71 127.71 77.09
Positions (direct):
Nd1 0.117 0.617 0.734
Nd2 0.250 0.250 0.000
Nd3 0.383 0.117 0.500
Nd4 0.617 0.883 0.500
Nd5 0.750 0.750 0.000
Nd6 0.883 0.383 0.266
Sm1 0.000 0.000 0.000
Sm2 0.071 0.152 0.500
Sm3 0.152 0.652 0.080
Sm4 0.348 0.429 0.500
Sm5 0.429 0.929 0.080
Sm6 0.500 0.500 0.000
Sm7 0.571 0.071 0.920
Sm8 0.652 0.571 0.500
Sm9 0.848 0.348 0.920
Sm10 0.929 0.848 0.500
Th1 0.250 0.750 0.500
Th2 0.750 0.250 0.500